Entry from Alexandria via LeMat-Bulk: MnCuHg4 after structural relaxation (GGA-PBE).

```
MnCuHg4
1.0
-0.827 -5.663 -0.777
-3.540 -1.856 -4.169
2.163 -2.620 -4.670
Mn Cu Hg
1 1 4
direct
0.750 0.750 0.750
0.000 0.000 0.000
0.875 0.375 0.375
0.375 0.375 0.875
0.375 0.875 0.375
0.375 0.375 0.375
```

Results
Formation enthalpy at 0 K = 0.63 eV per atom
Space-group type = F-43m (216)
Total energy = -1.787 eV per atom

---

Entry from Alexandria via LeMat-Bulk: MnCuHg2 after structural relaxation (GGA-PBE).

```
MnCuHg2
1.0
3.184 0.000 0.000
0.000 3.184 0.000
0.000 0.000 7.141
Cu Hg Mn
1 2 1
direct
0.500 0.500 0.723
0.000 0.000 0.959
0.500 0.500 0.281
0.000 0.000 0.536
```

Results
Polymorph energy (0 for the lowest one) = 0 meV/atom
Formation enthalpy at 0 K = 0.24 eV per atom
Space-group type = P4mm (99)
Total energy = -3.229 eV per atom

---

Entry from Alexandria via LeMat-Bulk: MnCu2Hg after structural relaxation (GGA-PBE).

```
MnCu2Hg
1.0
-1.337 4.135 -0.704
-3.942 1.316 1.451
-0.277 2.827 3.363
Cu Hg Mn
2 1 1
direct
0.000 0.000 0.000
0.250 0.250 0.250
0.500 0.500 0.500
0.750 0.750 0.750
```

Results
Formation enthalpy at 0 K = 0.24 eV per atom
Space-group type = F-43m (216)
Total energy = -4.181 eV per atom

---

Entry from Alexandria via LeMat-Bulk: MnCuHg after structural relaxation (GGA-PBE).

```
MnCuHg
1.0
3.024 0.000 0.000
-1.512 2.619 0.000
0.000 0.000 6.378
Cu Hg Mn
1 1 1
direct
0.000 0.000 0.981
0.333 0.667 0.329
0.667 0.333 0.690
```

Results
Polymorph energy (0 for the lowest one) = 109 meV/atom
Formation enthalpy at 0 K = 0.35 eV per atom
Space-group type = P3m1 (156)
Total energy = -4.175 eV per atom

---

Entry from Alexandria via LeMat-Bulk: MnCuHg after structural relaxation (GGA-PBE).

```
MnCuHg
1.0
4.341 0.000 0.000
2.170 3.759 0.000
2.170 1.253 3.544
Cu Hg Mn
1 1 1
direct
0.000 0.000 0.000
0.500 0.500 0.500
0.750 0.750 0.750
```

Results
Polymorph energy (0 for the lowest one) = 290 meV/atom
Formation enthalpy at 0 K = 0.53 eV per atom
Space-group type = F-43m (216)
Total energy = -3.994 eV per atom

---

Entry from Alexandria via LeMat-Bulk: MnCuHg2 after structural relaxation (GGA-PBE).

```
MnCuHg2
1.0
-1.911 3.636 2.403
-0.985 1.388 4.444
4.296 2.853 1.194
Cu Hg Mn
1 2 1
direct
0.250 0.250 0.250
0.997 0.997 0.006
0.503 0.503 0.494
0.750 0.750 0.750
```

Results
Polymorph energy (0 for the lowest one) = 85 meV/atom
Formation enthalpy at 0 K = 0.32 eV per atom
Space-group type = C2/m (12)
Total energy = -3.144 eV per atom

---

Entry from Alexandria via LeMat-Bulk: MnCu2Hg after structural relaxation (GGA-PBE).

```
MnCu2Hg
1.0
3.125 -0.013 0.000
0.013 3.125 0.000
0.000 0.000 6.212
Cu Hg Mn
2 1 1
direct
0.000 0.000 0.009
0.500 0.500 0.213
0.000 0.000 0.489
0.500 0.500 0.789
```

Results
Formation enthalpy at 0 K = 0.20 eV per atom
Space-group type = P4mm (99)
Total energy = -4.220 eV per atom

---

Entry from Alexandria via LeMat-Bulk: MnCuHg2 after structural relaxation (GGA-PBE).

```
MnCuHg2
1.0
-1.323 0.997 3.826
-1.754 -3.764 0.375
6.512 -4.770 5.768
Mn Hg Cu
2 4 2
direct
0.500 0.500 0.000
0.250 0.750 0.500
0.633 0.125 0.250
0.117 0.625 0.250
0.375 0.367 0.750
0.875 0.883 0.750
0.000 0.000 0.000
0.750 0.250 0.500
```

Results
Polymorph energy (0 for the lowest one) = 233 meV/atom
Formation enthalpy at 0 K = 0.47 eV per atom
Space-group type = I-42d (122)
Total energy = -2.996 eV per atom

---

Entry from Alexandria via LeMat-Bulk: MnCuHg2 after structural relaxation (GGA-PBE).

```
MnCuHg2
1.0
4.673 0.000 0.000
2.336 4.047 0.000
2.336 1.349 3.815
Cu Hg Mn
1 2 1
direct
0.500 0.500 0.500
0.000 0.000 0.000
0.250 0.250 0.250
0.750 0.750 0.750
```

Results
Polymorph energy (0 for the lowest one) = 96 meV/atom
Formation enthalpy at 0 K = 0.33 eV per atom
Space-group type = F-43m (216)
Total energy = -3.133 eV per atom

---

Entry from Alexandria via LeMat-Bulk: MnCu2Hg after structural relaxation (GGA-PBE).

```
MnCu2Hg
1.0
4.098 0.000 0.000
0.000 2.934 0.030
0.000 1.472 5.142
Cu Hg Mn
2 1 1
direct
0.000 0.194 0.985
0.500 0.066 0.245
0.000 0.451 0.469
0.500 0.789 0.801
```

Results
Formation enthalpy at 0 K = 0.24 eV per atom
Space-group type = Pm (6)
Total energy = -4.176 eV per atom

---

Entry from Alexandria via LeMat-Bulk: Mn2CuHgN after structural relaxation (GGA-PBE).

```
Mn2CuHgN
1.0
-1.421 -1.839 -2.928
2.149 -4.429 1.740
-3.097 -0.732 1.962
Mn Hg Cu N
2 1 1 1
direct
0.000 0.000 0.500
0.500 0.000 0.000
0.000 0.500 0.000
0.500 0.500 0.500
0.000 0.000 0.000
```

Results
Uncorrected formation energy = 146 kJ/mol of formula units
Space-group type = P4/mmm (123)
Total energy = -5.909 eV per atom

---

Entry from Alexandria via LeMat-Bulk: RbMnCu2Hg after structural relaxation (GGA-PBE).

```
RbMnCu2Hg
1.0
5.139 0.000 0.000
0.000 5.190 0.000
0.000 0.000 5.139
Mn Cu Hg Rb
1 2 1 1
direct
0.000 0.500 0.000
0.000 0.000 0.500
0.500 0.000 0.000
0.000 0.000 0.000
0.500 0.500 0.500
```

Results
Formation enthalpy at 0 K = 0.70 eV per atom
Space-group type = P4/mmm (123)
Total energy = -3.027 eV per atom